A geometry-optimized Na3Ac2PaS6 structure, computed with PBE.

It has space group C2/m (No. 12), with a = 7.333 Å, b = 12.702 Å, c = 7.173 Å, α = 90.00°, β = 109.98° and γ = 90.00°. The inequivalent atoms are Na at (0.000, 0.000, 0.000), Na at (0.000, 0.336, 0.000), Ac at (0.000, 0.167, 0.500), Pa at (0.000, 0.500, 0.500), S at (0.233, 0.500, 0.265) and S at (0.236, 0.344, 0.741).

The value obtained for the total DFT energy (no corrections) is -5.5181 eV per atom. Its density of states at the Fermi level is 6.9 states/eV/f.u. The value obtained for the raw formation energy is -1.649 eV per atom.